# 1
Computed, not measured: a relaxed structure of Be2SiP at the PBE level of DFT.

## Properties
The value obtained for the total magnetization is 0.0000 μB/atom. As for the formation energy without anion corrections: 0.0560 eV/atom.

Cell: 3.8718 5.2962 5.9513 Å, 75.68 89.38 69.61°
Element x y z (fractional)
Si 0.4605 0.4784 0.7437
Be 0.5674 0.8658 0.1603
P 0.4915 0.8953 0.7960
Be 0.8969 0.0750 0.6438
Si 0.9080 0.1034 0.2686
Be 0.0681 0.2464 0.8875
P 0.2560 0.6323 0.3474
Be 0.3037 0.3339 0.1554


# 2
Computed, not measured: a relaxed structure of BeSi2P at the PBE level of DFT.

## Properties
The value obtained for the total magnetization is 0.0000 μB/atom. As for the formation energy without anion corrections: 0.5271 eV/atom. Its density of states at the Fermi level is 0.25 states/eV per atom.

Cell: 8.1145 8.1145 8.1145 Å, 19.38 19.38 19.38°
Element x y z (fractional)
Si 0.5055 0.5055 0.5055
Be 0.2500 0.2500 0.2500
Si 0.9945 0.9945 0.9945
P 0.7500 0.7500 0.7500


# 3
Computed, not measured: a relaxed structure of BeSiP at the PBE level of DFT.

## Properties
The value obtained for the total magnetization is 0.0000 μB/atom. As for the formation energy without anion corrections: 0.0158 eV/atom. Its density of states at the Fermi level is 0.00 states/eV per atom.

Cell: 3.6987 5.2915 5.3123 Å, 99.61 106.37 106.17°
Element x y z (fractional)
P 0.6944 0.9185 0.0529
Si 0.4289 0.2650 0.6802
Be 0.7268 0.5342 0.1204
Be 0.2710 0.1299 0.0445
P 0.3253 0.5205 0.3663
Si 0.7370 0.9776 0.5066


# 4
Computed, not measured: a relaxed structure of Be2SiP at the PBE level of DFT.

## Properties
The value obtained for the total magnetization is 0.0000 μB/atom. As for the formation energy without anion corrections: 0.3986 eV/atom. Its density of states at the Fermi level is 0.20 states/eV per atom.

Cell: 5.1103 3.9605 3.2703 Å, 81.85 65.15 118.14°
Element x y z (fractional)
Be 0.0000 0.0000 0.0000
Si 0.5000 0.5000 0.0000
Be 0.5000 0.0000 0.5000
P 0.0000 0.5000 0.5000


# 5
Computed, not measured: a relaxed structure of Be2SiP at the PBE level of DFT.

## Properties
The value obtained for the total magnetization is 0.0000 μB/atom. As for the formation energy without anion corrections: 0.1390 eV/atom. Its density of states at the Fermi level is 0.22 states/eV per atom.

Cell: 5.8462 5.8463 4.3332 Å, 137.81 137.81 73.51°
Element x y z (fractional)
Be 0.2053 0.7949 0.5002
Be 0.0435 0.9562 0.9998
Si 0.8938 0.1064 0.5002
P 0.3573 0.6424 0.9998


# 6
Computed, not measured: a relaxed structure of BeSiSnP2 at the PBE level of DFT.

## Properties
The value obtained for the total magnetization is 0.0000 μB/atom. As for the formation energy without anion corrections: 1.3558 eV/atom. Its density of states at the Fermi level is 0.60 states/eV per atom.

Cell: 5.1392 4.4260 5.1392 Å, 90.00 90.00 90.00°
Element x y z (fractional)
Sn 0.0000 0.0000 0.0000
P 0.5000 0.0000 0.0000
Si 0.5000 0.5000 0.5000
Be 0.0000 0.5000 0.0000
P 0.0000 0.0000 0.5000


# 7
Computed, not measured: a relaxed structure of ZrBeSiP2 at the PBE level of DFT.

## Properties
The value obtained for the total magnetization is 0.0000 μB/atom. As for the formation energy without anion corrections: 0.3110 eV/atom. Its density of states at the Fermi level is 0.59 states/eV per atom.

Cell: 4.4875 3.9902 4.4875 Å, 90.00 90.00 90.00°
Element x y z (fractional)
Si 0.0000 0.5000 0.0000
Zr 0.5000 0.5000 0.5000
P 0.0000 0.0000 0.5000
P 0.5000 0.0000 0.0000
Be 0.0000 0.0000 0.0000


# 8
Computed, not measured: a relaxed structure of Sm2BeP at the PBE level of DFT.

## Properties
The value obtained for the total magnetization is 0.0000 μB/atom. The value obtained for the total energy is -4.617 eV/atom. Its density of states at the Fermi level is 1.12 states/eV per atom.

Cell: 3.9735 3.9735 9.3539 Å, 77.74 77.74 60.00°
Element x y z (fractional)
Sm 0.1096 0.1096 0.6712
P 0.5000 0.5000 0.5000
Be 0.0000 0.0000 0.0000
Sm 0.8904 0.8904 0.3288


# 9
Computed, not measured: a relaxed structure of SmBeP2 at the PBE level of DFT.

## Properties
The value obtained for the total magnetization is 0.0000 μB/atom. The value obtained for the total energy is -5.096 eV/atom. Its density of states at the Fermi level is 0.64 states/eV per atom.

Cell: 4.1839 4.1839 7.5299 Å, 73.87 73.87 60.00°
Element x y z (fractional)
P 0.9070 0.9070 0.2791
Sm 0.5000 0.5000 0.5000
P 0.0930 0.0930 0.7209
Be 0.0000 0.0000 0.0000


# 10
Computed, not measured: a relaxed structure of BeSn2P at the PBE level of DFT.

## Properties
The value obtained for the total magnetization is 0.0000 μB/atom. The value obtained for the total energy is -3.685 eV/atom. Its density of states at the Fermi level is 0.87 states/eV per atom.

Cell: 4.8241 4.8241 4.8241 Å, 60.00 60.00 60.00°
Element x y z (fractional)
Sn 0.2500 0.2500 0.2500
Be 0.0000 0.0000 0.0000
P 0.5000 0.5000 0.5000
Sn 0.7500 0.7500 0.7500


# 11
Computed, not measured: a relaxed structure of Be3SnP at the PBE level of DFT.

## Properties
The value obtained for the total magnetization is 0.0000 μB/atom. The value obtained for the total energy is -3.549 eV/atom. Its density of states at the Fermi level is 0.61 states/eV per atom.

Cell: 4.2308 4.2308 4.2308 Å, 90.00 90.00 90.00°
Element x y z (fractional)
P 0.0000 0.0000 0.0000
Be 0.0000 0.0000 0.5000
Be 0.0000 0.5000 0.0000
Sn 0.5000 0.5000 0.5000
Be 0.5000 0.0000 0.0000


# 12
Computed, not measured: a relaxed structure of Be2SnP at the PBE level of DFT.

## Properties
The value obtained for the total magnetization is 0.0000 μB/atom. The value obtained for the total energy is -3.495 eV/atom. Its density of states at the Fermi level is 0.28 states/eV per atom.

Cell: 4.3850 4.3850 4.3850 Å, 60.00 60.00 60.00°
Element x y z (fractional)
Sn 0.5000 0.5000 0.5000
P 0.0000 0.0000 0.0000
Be 0.2500 0.2500 0.2500
Be 0.7500 0.7500 0.7500


# 13
Computed, not measured: a relaxed structure of BeSn2P at the PBE level of DFT.

## Properties
The value obtained for the total magnetization is 0.0000 μB/atom. The value obtained for the total energy is -4.072 eV/atom. Its density of states at the Fermi level is 0.36 states/eV per atom.

Cell: 5.8746 5.8746 7.0878 Å, 65.52 65.52 90.00°
Element x y z (fractional)
Sn 0.3750 0.3995 0.7500
Sn 0.1495 0.6250 0.2500
P 0.0000 0.0000 0.0000
Be 0.5000 0.5000 0.0000
Sn 0.8750 0.8505 0.7500
Sn 0.6005 0.1250 0.2500
Be 0.2500 0.7500 0.5000
P 0.7500 0.2500 0.5000


# 14
Computed, not measured: a relaxed structure of Be2SnP at the PBE level of DFT.

## Properties
The value obtained for the total magnetization is 0.0000 μB/atom. The value obtained for the total energy is -4.005 eV/atom. Its density of states at the Fermi level is 0.16 states/eV per atom.

Cell: 5.7659 5.7659 6.0572 Å, 61.58 61.58 90.00°
Element x y z (fractional)
Sn 0.7500 0.2500 0.5000
Be 0.1995 0.6250 0.2500
Be 0.5505 0.1250 0.2500
P 0.5000 0.5000 0.0000
Be 0.3750 0.4495 0.7500
P 0.2500 0.7500 0.5000
Sn 0.0000 0.0000 0.0000
Be 0.8750 0.8005 0.7500


# 15
Computed, not measured: a relaxed structure of BeSn3P at the PBE level of DFT.

## Properties
The value obtained for the total magnetization is 0.0000 μB/atom. The value obtained for the total energy is -3.749 eV/atom. Its density of states at the Fermi level is 0.42 states/eV per atom.

Cell: 4.8752 4.8752 4.8752 Å, 90.00 90.00 90.00°
Element x y z (fractional)
Be 0.0000 0.0000 0.0000
Sn 0.5000 0.0000 0.0000
Sn 0.0000 0.5000 0.0000
Sn 0.0000 0.0000 0.5000
P 0.5000 0.5000 0.5000


# 16
Computed, not measured: a relaxed structure of Be3SnP at the PBE level of DFT.

## Properties
The value obtained for the total magnetization is 0.0001 μB/atom. The value obtained for the total energy is -2.759 eV/atom. Its density of states at the Fermi level is 0.88 states/eV per atom.

Cell: 4.5525 4.5525 4.5525 Å, 90.00 90.00 90.00°
Element x y z (fractional)
P 0.5000 0.5000 0.5000
Be 0.5000 0.0000 0.0000
Sn 0.0000 0.0000 0.0000
Be 0.0000 0.5000 0.0000
Be 0.0000 0.0000 0.5000


# 17
Computed, not measured: a relaxed structure of Be2SnP2 at the PBE level of DFT.

## Properties
The value obtained for the total magnetization is 0.0000 μB/atom. The value obtained for the total energy is -4.514 eV/atom. Its density of states at the Fermi level is 0.30 states/eV per atom.

Cell: 3.5393 3.5393 6.8733 Å, 75.08 75.08 90.00°
Element x y z (fractional)
Be 0.7500 0.2500 0.5000
P 0.3530 0.3530 0.2940
Be 0.2500 0.7500 0.5000
P 0.6470 0.6470 0.7060
Sn 0.0000 0.0000 0.0000


# 18
Computed, not measured: a relaxed structure of SrBeP2 at the PBE level of DFT.

## Properties
The value obtained for the total magnetization is 0.0000 μB/atom. The value obtained for the total energy is -4.409 eV/atom. Its density of states at the Fermi level is 0.14 states/eV per atom.

Cell: 4.5606 4.5606 4.8695 Å, 77.73 77.73 67.78°
Element x y z (fractional)
P 0.5068 0.5068 0.6618
P 0.9932 0.9932 0.8382
Be 0.7500 0.7500 0.7500
Sr 0.2500 0.2500 0.2500


# 19
Computed, not measured: a relaxed structure of Sr4BeP4 at the PBE level of DFT.

## Properties
The value obtained for the total magnetization is 0.0000 μB/atom. The value obtained for the total energy is -4.424 eV/atom. Its density of states at the Fermi level is 1.03 states/eV per atom.

Cell: 6.2657 8.6623 8.6623 Å, 90.00 90.00 90.00°
Element x y z (fractional)
P 0.8102 0.7776 0.0002
Sr 0.6927 0.9998 0.7345
P 0.8102 0.2224 0.9998
P 0.1898 0.0002 0.2224
P 0.6898 0.2776 0.5002
P 0.3102 0.4998 0.2776
Sr 0.3073 0.7345 0.0002
P 0.3102 0.5002 0.7224
Sr 0.1927 0.2345 0.5002
Be 0.5000 0.5000 0.5000
Be 0.0000 0.0000 0.0000
Sr 0.8073 0.4998 0.2345
Sr 0.8073 0.5002 0.7655
Sr 0.1927 0.7655 0.4998
P 0.1898 0.9998 0.7776
Sr 0.3073 0.2655 0.9998
P 0.6898 0.7224 0.4998
Sr 0.6927 0.0002 0.2655


# 20
Computed, not measured: a relaxed structure of SrBeP2 at the PBE level of DFT.

## Properties
The value obtained for the total magnetization is 0.0000 μB/atom. The value obtained for the total energy is -4.393 eV/atom. Its density of states at the Fermi level is 0.25 states/eV per atom.

Cell: 5.8005 5.8005 4.6152 Å, 89.92 89.92 36.69°
Element x y z (fractional)
Be 0.6854 0.6854 0.9998
Sr 0.4638 0.4638 0.4999
P 0.0664 0.0664 0.9997
P 0.2843 0.2843 0.0006